First-principles (GGA-PBE) data for a relaxed structure of Sc5AlIn, as listed in Alexandria via LeMat-Bulk.

Cell lengths 5.621, 5.621, 10.624 Å; angles 99.31, 99.31, 93.22 degrees
Atoms (fractional coordinates):
1 Sc 0.764 0.474 0.531
2 Sc 0.113 0.887 0.750
3 Sc 0.007 0.583 0.152
4 Sc 0.236 0.526 0.469
5 Sc 0.993 0.417 0.848
6 Sc 0.887 0.113 0.250
7 Sc 0.474 0.764 0.031
8 Sc 0.583 0.007 0.652
9 Sc 0.417 0.993 0.348
10 Sc 0.526 0.236 0.969
11 Al 0.000 0.000 0.000
12 Al 0.000 0.000 0.500
13 In 0.524 0.476 0.250
14 In 0.476 0.524 0.750

* calculated density: 3.74 g/cm³
* space group: C2/c (15)
* ΔE_f: -0.112 eV/atom
* spin magnetization: 0.000 μB/f.u.

---

First-principles (GGA-PBE) data for a relaxed structure of Ca3SbP, as listed in Alexandria via LeMat-Bulk.

Cell lengths 16.628, 7.464, 7.464 Å; angles 146.65, 140.91, 39.09 degrees
Atoms (fractional coordinates):
1 Ca 0.093 0.272 0.728
2 Ca 0.359 0.662 0.338
3 Ca 0.344 0.397 0.603
4 Ca 0.907 0.728 0.272
5 Ca 0.656 0.603 0.397
6 Ca 0.641 0.338 0.662
7 Sb 0.872 0.985 0.015
8 Sb 0.128 0.015 0.985
9 P 0.588 0.032 0.968
10 P 0.412 0.968 0.032

* polymorph energy (0 for the lowest one): 201 meV per atom
* calculated density: 3.04 g/cm³
* space group: C2/m (12)
* spin magnetization: 0.000 μB/f.u.
* raw formation energy: -893.1 meV per atom

---

First-principles (GGA-PBE) data for a relaxed structure of Pm2ZnSb4Rh3, as listed in Alexandria via LeMat-Bulk.

Cell lengths 4.481, 4.481, 10.925 Å; angles 90.00, 90.00, 90.00 degrees
Atoms (fractional coordinates):
1 Rh 0.000 0.500 0.126
2 Rh 0.500 0.000 0.874
3 Rh 0.000 0.000 0.500
4 Pm 0.000 0.500 0.750
5 Pm 0.500 0.000 0.250
6 Sb 0.500 0.000 0.638
7 Sb 0.500 0.500 0.000
8 Sb 0.000 0.000 0.000
9 Sb 0.000 0.500 0.362
10 Zn 0.500 0.500 0.500

* calculated density: 8.71 g/cm³
* space group: P-4m2 (115)
* spin magnetization: 0.000 μB/f.u.
* raw formation energy: -687.4 meV per atom

---

First-principles (GGA-PBE) data for a relaxed structure of LaMgMn, as listed in Alexandria via LeMat-Bulk.

Cell lengths 5.003, 5.003, 5.003 Å; angles 60.00, 60.00, 60.00 degrees
Site moments in Bohr magnetons follow the coordinates.
Atoms (fractional coordinates):
1 Mg 0.750 0.750 0.750  -0.04
2 Mn 0.000 0.000 0.000  3.97
3 La 0.500 0.500 0.500  -0.23

* calculated density: 4.09 g/cm³
* space group: F-43m (216)
* ΔE_f: 0.639 eV/atom
* spin magnetization: 3.581 μB/f.u.